Record 1
The following is a PBE calculation of a relaxed structure of NdHfRu4, from the Alexandria database.

Results
* crystal system: cubic
* space-group type: F-43m, No. 216
* total moment: 0.00 μB/f.u.
* calculated formation energy: -184.4 meV/atom
* calculated total energy: -8.822 eV per atom

a b c (Å): 5.307 5.307 5.307
angles (deg): 60.00 60.00 60.00
Element x y z (fractional)
Nd (0.000, 0.000, 0.000)
Hf (0.250, 0.250, 0.250)
Ru (0.624, 0.624, 0.127)
Ru (0.624, 0.127, 0.624)
Ru (0.624, 0.624, 0.624)
Ru (0.127, 0.624, 0.624)



Record 2
The following is a PBE calculation of a relaxed structure of NdHf2Ru, from the Alexandria database.

Results
* crystal system: tetragonal
* space-group type: P4/mmm, No. 123
* total moment: 0.00 μB/f.u.
* calculated formation energy: -222.7 meV/atom
* calculated total energy: -8.710 eV per atom

a b c (Å): 3.296 3.296 8.102
angles (deg): 90.00 90.00 90.00
Element x y z (fractional)
Nd (0.500, 0.500, 0.500)
Hf (0.000, 0.000, 0.808)
Hf (0.000, 0.000, 0.192)
Ru (0.500, 0.500, 0.000)



Record 3
The following is a PBE calculation of a relaxed structure of NdHfRu, from the Alexandria database.

Results
* crystal system: monoclinic
* space-group type: P2_1/m, No. 11
* total moment: 0.00 μB/f.u.
* calculated formation energy: -307.2 meV/atom
* calculated total energy: -8.306 eV per atom

a b c (Å): 4.504 7.099 12.976
angles (deg): 91.66 90.00 90.00
Element x y z (fractional)
Nd (0.750, 0.508, 0.377)
Nd (0.250, 0.016, 0.710)
Nd (0.750, 0.984, 0.290)
Nd (0.750, 0.615, 0.084)
Nd (0.250, 0.492, 0.623)
Nd (0.250, 0.385, 0.916)
Ru (0.250, 0.812, 0.891)
Ru (0.750, 0.301, 0.761)
Ru (0.750, 0.779, 0.565)
Ru (0.750, 0.188, 0.109)
Ru (0.250, 0.221, 0.435)
Ru (0.250, 0.699, 0.239)
Hf (0.250, 0.960, 0.084)
Hf (0.250, 0.856, 0.459)
Hf (0.750, 0.665, 0.789)
Hf (0.750, 0.144, 0.541)
Hf (0.250, 0.335, 0.211)
Hf (0.750, 0.040, 0.916)



Record 4
The following is a PBE calculation of a relaxed structure of NdHfS2, from the Alexandria database.

Results
* ΔE to the lowest computed polymorph: 0.00 eV/f.u.
* crystal system: trigonal
* space-group type: R-3m, No. 166
* total moment: 0.00 μB/f.u.
* formation energy (no corrections): -1.573 eV/atom
* calculated total energy: -7.318 eV per atom

a b c (Å): 3.837 3.837 6.706
angles (deg): 73.38 73.38 60.00
Element x y z (fractional)
Nd (0.500, 0.500, 0.500)
S (0.261, 0.261, 0.218)
S (0.739, 0.739, 0.782)
Hf (0.000, 0.000, 0.000)



Record 5
The following is a PBE calculation of a relaxed structure of Nd3HfS6, from the Alexandria database.

Results
* crystal system: orthorhombic
* space-group type: Fmmm, No. 69
* total moment: 0.29 μB/f.u.
* formation energy (no corrections): -1.500 eV/atom
* calculated total energy: -6.402 eV per atom

a b c (Å): 6.528 6.528 7.619
angles (deg): 109.53 109.53 102.68
Last column: magnetic moment on the atom in μB.
Element x y z (fractional)
Nd (0.750, 0.250, 0.500)  0.06
Nd (0.500, 0.500, 0.000)  0.00
Nd (0.250, 0.750, 0.500)  0.06
Hf (0.000, 0.000, 0.000)  0.00
S (0.637, 0.637, 0.727)  0.00
S (0.910, 0.910, 0.273)  0.00
S (0.090, 0.090, 0.727)  0.00
S (0.363, 0.363, 0.273)  0.00
S (0.760, 0.240, 0.000)  0.01
S (0.240, 0.760, 0.000)  0.01



Record 6
The following is a PBE calculation of a relaxed structure of NdHfS4, from the Alexandria database.

Results
* crystal system: orthorhombic
* space-group type: Cmmm, No. 65
* total moment: 0.00 μB/f.u.
* formation energy (no corrections): -1.361 eV/atom
* calculated total energy: -6.566 eV per atom

a b c (Å): 3.930 6.370 6.370
angles (deg): 90.63 90.00 90.00
Element x y z (fractional)
Nd (0.500, 0.000, 0.000)
Hf (0.000, 0.500, 0.500)
S (0.000, 0.220, 0.220)
S (0.000, 0.780, 0.780)
S (0.500, 0.684, 0.316)
S (0.500, 0.316, 0.684)



Record 7
The following is a PBE calculation of a relaxed structure of Nd5Hf2S12, from the Alexandria database.

Results
* crystal system: monoclinic
* space-group type: C2/m, No. 12
* total moment: 0.00 μB/f.u.
* formation energy (no corrections): -1.813 eV/atom
* calculated total energy: -6.722 eV per atom

a b c (Å): 7.215 8.640 8.989
angles (deg): 105.52 90.00 114.68
Element x y z (fractional)
Nd (0.297, 0.594, 0.643)
Nd (0.312, 0.624, 0.166)
Nd (0.000, 0.000, 0.500)
Nd (0.688, 0.376, 0.834)
Nd (0.703, 0.406, 0.357)
Hf (0.748, 0.000, 0.000)
Hf (0.252, 0.000, 0.000)
S (0.997, 0.995, 0.189)
S (0.090, 0.664, 0.914)
S (0.574, 0.664, 0.914)
S (0.103, 0.702, 0.432)
S (0.599, 0.702, 0.432)
S (0.497, 0.994, 0.795)
S (0.503, 0.006, 0.205)
S (0.897, 0.298, 0.568)
S (0.401, 0.298, 0.568)
S (0.910, 0.336, 0.086)
S (0.426, 0.336, 0.086)
S (0.003, 0.005, 0.811)



Record 8
The following is a PBE calculation of a relaxed structure of NdHf2S, from the Alexandria database.

Results
* crystal system: trigonal
* space-group type: R-3m, No. 166
* total moment: 0.52 μB/f.u.
* formation energy (no corrections): -0.295 eV/atom
* calculated total energy: -7.496 eV per atom

a b c (Å): 3.470 3.470 9.528
angles (deg): 79.51 79.51 60.00
Last column: magnetic moment on the atom in μB.
Element x y z (fractional)
Nd (0.000, 0.000, 0.000)  0.16
S (0.500, 0.500, 0.500)  0.00
Hf (0.114, 0.114, 0.659)  0.10
Hf (0.886, 0.886, 0.341)  0.10



Record 9
The following is a PBE calculation of a relaxed structure of NdHfS, from the Alexandria database.

Results
* crystal system: orthorhombic
* space-group type: Immm, No. 71
* total moment: 0.00 μB/f.u.
* formation energy (no corrections): -0.684 eV/atom
* calculated total energy: -6.966 eV per atom

a b c (Å): 5.154 3.487 8.565
angles (deg): 101.75 107.51 90.00
Element x y z (fractional)
Nd (0.671, 0.171, 0.341)
Nd (0.329, 0.829, 0.659)
Hf (0.751, 0.500, 0.000)
Hf (0.249, 0.500, 0.000)
S (0.151, 0.651, 0.302)
S (0.849, 0.349, 0.698)



Record 10
The following is a PBE calculation of a relaxed structure of NdHfS2, from the Alexandria database.

Results
* ΔE to the lowest computed polymorph: 0.10 eV/f.u.
* crystal system: trigonal
* space-group type: R3m, No. 160
* total moment: 0.00 μB/f.u.
* formation energy (no corrections): -1.549 eV/atom
* calculated total energy: -7.293 eV per atom

a b c (Å): 3.758 3.758 7.036
angles (deg): 74.51 74.51 60.00
Element x y z (fractional)
Nd (0.495, 0.495, 0.514)
Hf (0.671, 0.671, 0.987)
S (0.073, 0.073, 0.782)
S (0.261, 0.261, 0.216)



Record 11
The following is a PBE calculation of a relaxed structure of NdHf4S8, from the Alexandria database.

Results
* crystal system: trigonal
* space-group type: R-3m, No. 166
* total moment: 0.00 μB/f.u.
* formation energy (no corrections): -1.679 eV/atom
* calculated total energy: -7.648 eV per atom

a b c (Å): 7.236 7.236 7.861
angles (deg): 62.60 62.60 60.00
Element x y z (fractional)
Nd (0.500, 0.500, 0.500)
Hf (0.000, 0.500, 0.000)
Hf (0.500, 0.500, 0.000)
Hf (0.500, 0.000, 0.000)
Hf (0.000, 0.000, 0.000)
S (0.749, 0.239, 0.772)
S (0.761, 0.251, 0.228)
S (0.251, 0.761, 0.228)
S (0.761, 0.761, 0.228)
S (0.739, 0.739, 0.782)
S (0.261, 0.261, 0.218)
S (0.239, 0.239, 0.772)
S (0.239, 0.749, 0.772)



Record 12
The following is a PBE calculation of a relaxed structure of Nd3HfTl4S8, from the Alexandria database.

Results
* crystal system: trigonal
* space-group type: R-3m, No. 166
* total moment: 0.00 μB/f.u.
* formation energy (no corrections): -1.336 eV/atom
* calculated total energy: -5.507 eV per atom

a b c (Å): 8.097 8.961 8.098
angles (deg): 116.89 120.00 90.00
Element x y z (fractional)
Nd (0.500, 0.500, 0.000)
Nd (0.500, 0.500, 0.500)
Nd (0.000, 0.500, 0.500)
Hf (0.000, 0.500, 0.000)
Tl (0.500, 0.000, 0.000)
Tl (0.500, 0.000, 0.500)
Tl (0.000, 0.000, 0.000)
Tl (0.000, 0.000, 0.500)
S (0.217, 0.695, 0.978)
S (0.217, 0.695, 0.434)
S (0.264, 0.291, 0.527)
S (0.761, 0.695, 0.978)
S (0.239, 0.305, 0.022)
S (0.736, 0.709, 0.473)
S (0.783, 0.305, 0.566)
S (0.783, 0.305, 0.022)



Table of ρ (g/cm3), in record order: 11.42 11.36 10.18 7.96 4.99 4.70 4.99 9.12 8.21 7.85 6.13 6.45